# 1
Material: PrSm2Er6
Method: DFT, PBE-GGA
State: relaxed

Output
DFT total energy ... -0.16702 Ha/atom
DOS(E_F) ... 13.6 states/eV/cell
Relative energy among the computed polymorphs ... 0.0000 eV per atom
Energy relative to the elements ... 0.692 eV/f.u.

Unit cell a=9.7616 b=9.7616 c=3.4587 alpha=90.10 beta=90.10 gamma=60.02
Last column: nearest neighbours and their distance in Å.
Fractional positions:
Pr: 0.0000 0.0000 0.0000  2 Pr 3.46, 12 Er 3.69-3.70
Sm: 0.3334 0.3334 0.0000  2 Sm 3.46, 12 Er 3.68
Sm: 0.6666 0.6666 0.0000  2 Sm 3.46, 12 Er 3.68
Er: 0.0001 0.3342 0.4998  5 Er 3.24-3.46
Er: 0.9999 0.6658 0.5002  5 Er 3.24-3.46
Er: 0.3342 0.0001 0.4998  5 Er 3.24-3.46
Er: 0.3344 0.6656 0.5000  5 Er 3.23-3.46
Er: 0.6658 0.9999 0.5002  5 Er 3.24-3.46
Er: 0.6656 0.3344 0.5000  5 Er 3.23-3.46


# 2
Material: Pr3SmEr2
Method: DFT, PBE-GGA
State: relaxed

Output
DFT total energy ... -0.16180 Ha/atom
DOS(E_F) ... 19.0 states/eV/cell
Relative energy among the computed polymorphs ... 0.0212 eV per atom
Energy relative to the elements ... 1.767 eV/f.u.

Unit cell a=8.8028 b=8.8028 c=8.8028 alpha=98.49 beta=97.22 gamma=136.61
Last column: nearest neighbours and their distance in Å.
Fractional positions:
Pr: 0.0000 0.2150 0.2150  4 Pr 3.35-3.36, 4 Er 3.37-3.67
Pr: 0.0000 0.7850 0.7850  4 Pr 3.35-3.36, 4 Er 3.37-3.67
Pr: 0.5000 0.0000 0.0000  4 Pr 3.36, 4 Er 3.42
Pr: 0.5000 0.2150 0.7150  4 Pr 3.35-3.36, 4 Er 3.37-3.67
Pr: 0.5000 0.5000 0.5000  4 Pr 3.36, 4 Er 3.42
Pr: 0.5000 0.7850 0.2850  4 Pr 3.35-3.36, 4 Er 3.37-3.67
Sm: 0.0416 0.7916 0.2500  6 Er 3.63-4.06, 4 Pr 4.05
Sm: 0.9584 0.2084 0.7500  6 Er 3.63-4.06, 4 Pr 4.05
Er: 0.2850 0.6908 0.5942  2 Er 3.31-3.63, 6 Pr 3.37-3.67, 1 Sm 3.63
Er: 0.4034 0.3092 0.0942  2 Er 3.31-3.63, 6 Pr 3.37-3.67, 1 Sm 3.63
Er: 0.5966 0.6908 0.9058  2 Er 3.31-3.63, 6 Pr 3.37-3.67, 1 Sm 3.63
Er: 0.7150 0.3092 0.4058  2 Er 3.31-3.63, 6 Pr 3.37-3.67, 1 Sm 3.63


# 3
Material: Pr4Sm2Er5
Method: DFT, PBE-GGA
State: relaxed

Output
DFT total energy ... -0.16788 Ha/atom
DOS(E_F) ... 19.4 states/eV/cell
Relative energy among the computed polymorphs ... 0.0000 eV per atom
Energy relative to the elements ... 1.120 eV/f.u.

Unit cell a=10.2190 b=10.2190 c=6.3960 alpha=94.37 beta=94.37 gamma=33.37
Last column: nearest neighbours and their distance in Å.
Fractional positions:
Pr: 0.0351 0.0351 0.2655  5 Er 3.29-3.55, 2 Pr 3.40-3.56, 2 Sm 3.61
Pr: 0.3073 0.3073 0.9274  8 Er 3.43-3.76, 2 Sm 3.67-3.71
Pr: 0.6927 0.6927 0.0726  8 Er 3.43-3.76, 2 Sm 3.67-3.71
Pr: 0.9649 0.9649 0.7345  5 Er 3.29-3.55, 2 Pr 3.40-3.56, 2 Sm 3.61
Sm: 0.4016 0.4016 0.4536  7 Er 3.55-3.89, 4 Pr 3.61-3.71, 1 Sm 3.85
Sm: 0.5984 0.5984 0.5464  7 Er 3.55-3.89, 4 Pr 3.61-3.71, 1 Sm 3.85
Er: 0.1318 0.1318 0.8510  5 Pr 3.29-3.43, 1 Er 3.46, 2 Sm 3.55
Er: 0.2149 0.2149 0.3933  4 Er 3.46-3.71, 5 Pr 3.55-3.74, 1 Sm 3.65
Er: 0.5000 0.5000 0.0000  6 Pr 3.43-3.76, 2 Sm 3.61
Er: 0.7851 0.7851 0.6067  4 Er 3.46-3.71, 5 Pr 3.55-3.74, 1 Sm 3.65
Er: 0.8682 0.8682 0.1490  5 Pr 3.29-3.43, 1 Er 3.46, 2 Sm 3.55